No. 1
TiBeIn2P: relaxed, PBE.

a b c (Å): 5.339 5.339 4.532
angles (deg): 90.00 90.00 90.00
Fractional positions:
Ti  0.000  0.000  0.000
Be  0.000  0.000  0.500
In  0.000  0.500  0.000
In  0.500  0.000  0.000
P  0.500  0.500  0.500


No. 2
PaBeIn: relaxed, PBE.

a b c (Å): 8.150 8.150 3.471
angles (deg): 90.00 90.00 148.28
Fractional positions:
Pa  0.080  0.920  0.750
Pa  0.920  0.080  0.250
Be  0.461  0.539  0.750
Be  0.539  0.461  0.250
In  0.296  0.704  0.750
In  0.704  0.296  0.250


No. 3
BeInPb2: relaxed, PBE.

a b c (Å): 6.083 6.083 6.083
angles (deg): 136.89 136.89 62.61
Fractional positions:
Be  0.000  0.000  0.000
In  0.250  0.750  0.500
Pb  0.500  0.500  0.000
Pb  0.750  0.250  0.500

- ΔE to the lowest computed polymorph: 169 meV/atom


No. 4
BeInPb2: relaxed, PBE.

a b c (Å): 3.441 3.441 8.849
angles (deg): 90.00 90.00 102.78
Fractional positions:
Be  0.000  0.000  0.000
In  0.000  0.000  0.500
Pb  0.500  0.500  0.195
Pb  0.500  0.500  0.805

- ΔE to the lowest computed polymorph: 9 meV/atom


No. 5
BeIn2Pb: relaxed, PBE.

a b c (Å): 8.125 8.125 8.125
angles (deg): 26.97 26.97 26.97
Fractional positions:
Be  0.000  0.000  0.000
In  0.273  0.273  0.273
In  0.727  0.727  0.727
Pb  0.500  0.500  0.500

- ΔE to the lowest computed polymorph: 19 meV/atom


No. 6
BeIn2Pb: relaxed, PBE.

a b c (Å): 4.902 4.150 5.302
angles (deg): 90.00 114.37 90.00
Fractional positions:
Be  0.000  0.000  0.000
In  0.172  0.500  0.811
In  0.828  0.500  0.189
Pb  0.500  0.000  0.500

- ΔE to the lowest computed polymorph: 19 meV/atom


No. 7
BeIn2Pb: relaxed, PBE.

a b c (Å): 7.422 7.422 7.422
angles (deg): 154.21 146.69 42.60
Fractional positions:
Be  0.000  0.000  0.000
In  0.500  0.500  0.000
In  0.833  0.333  0.500
Pb  0.179  0.679  0.500

- ΔE to the lowest computed polymorph: 0 meV/atom


No. 8
BeIn2Pb: relaxed, PBE.

a b c (Å): 3.309 3.309 8.577
angles (deg): 90.00 90.00 90.00
Fractional positions:
Be  0.000  0.000  0.000
In  0.500  0.500  0.188
In  0.500  0.500  0.812
Pb  0.000  0.000  0.500

- ΔE to the lowest computed polymorph: 32 meV/atom


no.,energy relative to the elements (kJ/mol of atoms)
1,117.8
2,7.8
3,49.1
4,33.6
5,32.4
6,32.4
7,30.5
8,33.7